Sc2AlHAu: optimized geometry, PBE.

energy: -0.37243 Ry/atom
density of states at the Fermi level: 4.34 states/eV/f.u.

a b c (Å): 4.283 4.283 4.243
angles (deg): 90.00 90.00 90.00
Fractional coordinates of all 5 atoms:
Sc  0.000  0.500  0.000
Sc  0.500  0.000  0.000
Al  0.000  0.000  0.500
H  0.000  0.000  0.000
Au  0.500  0.500  0.500



CoBSbPb2: optimized geometry, PBE.

energy: -0.32756 Ry/atom
density of states at the Fermi level: 4.13 states/eV/f.u.
ΔE_f (raw): 608 meV/atom

a b c (Å): 5.328 5.328 3.898
angles (deg): 90.00 90.00 90.00
Fractional coordinates of all 5 atoms:
Co  0.000  0.000  0.000
B  0.000  0.000  0.500
Sb  0.500  0.500  0.000
Pb  0.000  0.500  0.500
Pb  0.500  0.000  0.500